Below is a relaxed structure of AcPm3Sb4, with properties calculated at the PBE level.

Structure (POSCAR):
```
AcPm3Sb4
1.0
-3.875 2.917 4.286
-5.170 -2.572 -2.925
0.385 -5.175 3.869
Sb Ac Pm
4 1 3
Cartesian
-1.938 1.458 2.143
-2.585 -1.286 -1.462
0.193 -2.587 1.935
-4.330 -2.415 2.616
0.000 0.000 0.000
-2.392 -3.873 0.472
-1.745 -1.129 4.078
-4.523 0.172 0.681
```

Summary:
Raw formation energy: -1160 meV/atom
Symmetry: Pm-3m

Below is a relaxed structure of AcPm2Sb, with properties calculated at the PBE level.

Structure (POSCAR):
```
AcPm2Sb
1.0
-4.395 0.387 -2.217
0.906 -4.289 -2.545
-2.125 -2.672 3.747
Sb Ac Pm
1 1 2
Cartesian
-2.198 0.193 -1.108
-2.807 -3.287 -0.508
-1.063 -1.336 1.873
0.453 -2.145 -1.273
```

Summary:
Raw formation energy: -492 meV/atom
Symmetry: P4/mmm

Below is a relaxed structure of AcPm3Sb3, with properties calculated at the PBE level.

Structure (POSCAR):
```
AcPm3Sb3
1.0
-1.245 9.524 0.327
-9.521 -1.257 0.362
0.402 -0.277 9.598
Ac Pm Sb
4 12 12
Cartesian
-5.137 -0.310 9.158
-1.593 8.615 5.797
-4.460 3.438 4.427
-9.539 4.237 1.192
-3.969 7.337 2.132
-9.594 7.396 9.522
-7.364 6.869 3.588
-7.884 0.621 3.404
-1.862 1.436 1.848
-7.936 1.831 6.925
-3.915 0.014 5.691
-1.803 2.570 8.018
-3.567 5.844 8.211
-7.072 5.452 7.019
-1.252 5.259 4.300
-5.969 3.311 1.061
-6.800 6.285 0.487
-10.502 7.085 2.967
-6.814 -1.081 6.195
-4.781 0.420 2.700
-1.239 2.177 4.904
-8.304 0.914 9.975
-3.187 8.955 8.885
-4.954 2.803 7.587
-3.034 4.383 1.383
-0.493 5.672 7.319
-4.386 6.604 5.207
-7.694 3.724 4.111
```

Summary:
Raw formation energy: -1027 meV/atom
Symmetry: P2_13

Below is a relaxed structure of AcPmSb2, with properties calculated at the PBE level.

Structure (POSCAR):
```
AcPmSb2
1.0
4.594 0.000 0.000
-2.297 3.979 0.002
0.000 -0.005 8.040
Ac Pm Sb
1 1 2
Cartesian
-1.149 1.987 4.021
-1.149 1.989 0.001
1.149 3.312 6.160
1.149 0.662 1.882
```

Summary:
Raw formation energy: -1051 meV/atom
Symmetry: P-3m1

Below is a relaxed structure of AcPm2Sb, with properties calculated at the PBE level.

Structure (POSCAR):
```
AcPm2Sb
1.0
-0.906 -1.763 -3.549
2.728 -0.022 -3.013
4.740 -10.399 1.627
Sb Ac Pm
1 1 2
Cartesian
3.281 -6.092 -2.467
0.000 0.000 0.000
3.385 -7.186 0.377
3.176 -4.998 -5.312
```

Summary:
Raw formation energy: -205 meV/atom
Symmetry: R-3m

Below is a relaxed structure of AcPmSb2, with properties calculated at the PBE level.

Structure (POSCAR):
```
AcPmSb2
1.0
3.968 0.000 0.000
0.000 3.968 0.000
0.000 0.000 8.039
Sb Ac Pm
2 1 1
Cartesian
0.000 0.000 5.893
0.000 0.000 2.146
1.984 1.984 0.000
1.984 1.984 4.020
```

Summary:
Raw formation energy: -901 meV/atom
Symmetry: P4/mmm